[1]
First-principles (PBE) data for an optimized crystal structure of Sn2SeIBr, as listed in the Alexandria database.

Lattice parameters (Å, degrees): 4.3586 11.0107 8.0072 84.44 74.21 78.58
With the nearest neighbours (Å) after each atom.
Atoms (fractional coordinates):
Sn (0.3504, 0.8489, 0.4502)  3 Se 2.91-3.08, 1 I 3.20, 2 Br 3.20
Sn (0.8829, 0.2146, 0.0196)  2 Se 2.96-3.16, 2 Br 3.12, 2 I 3.21
Sn (0.1171, 0.7854, 0.9804)  2 Se 2.96-3.16, 2 Br 3.12, 2 I 3.21
Sn (0.6496, 0.1511, 0.5498)  3 Se 2.91-3.08, 1 I 3.20, 2 Br 3.20
Se (0.1117, 0.0321, 0.7444)  5 Sn 2.91-3.16
Se (0.8883, 0.9679, 0.2556)  5 Sn 2.91-3.16
Br (0.7841, 0.7243, 0.7075)  4 Sn 3.12-3.20
Br (0.2159, 0.2757, 0.2925)  4 Sn 3.12-3.20
I (0.4096, 0.3770, 0.8037)  3 Sn 3.20-3.21
I (0.5904, 0.6230, 0.1963)  3 Sn 3.20-3.21

Properties
The uncorrected formation energy is -0.49 eV per atom. As for the total magnetic moment: 0.00 μB per formula unit.

[2]
First-principles (PBE) data for an optimized crystal structure of TeMoPb2, as listed in the Alexandria database.

Lattice parameters (Å, degrees): 5.4257 4.4414 4.4414 90.00 90.00 90.00
With the nearest neighbours (Å) after each atom.
Atoms (fractional coordinates):
Mo (0.5000, 0.0000, 0.5000)  4 Te 3.14, 8 Pb 3.51
Pb (0.0000, 0.0000, 0.0000)  4 Pb 3.14, 4 Te 3.51, 4 Mo 3.51
Pb (0.0000, 0.5000, 0.5000)  4 Pb 3.14, 4 Te 3.51, 4 Mo 3.51
Te (0.5000, 0.5000, 0.0000)  4 Mo 3.14, 8 Pb 3.51

Properties
The uncorrected formation energy is 0.68 eV per atom. As for the total magnetic moment: 3.17 μB per formula unit.

[3]
First-principles (PBE) data for an optimized crystal structure of ErThNiHg, as listed in the Alexandria database.

Lattice parameters (Å, degrees): 5.1285 5.1285 5.1285 60.00 60.00 60.00
With the nearest neighbours (Å) after each atom.
Atoms (fractional coordinates):
Er (0.5000, 0.5000, 0.5000)  4 Ni 3.14, 4 Hg 3.14
Ni (0.7500, 0.7500, 0.7500)  4 Th 3.14, 4 Er 3.14
Hg (0.2500, 0.2500, 0.2500)  4 Er 3.14, 4 Th 3.14
Th (0.0000, 0.0000, 0.0000)  4 Hg 3.14, 4 Ni 3.14

Properties
The value obtained for the total energy is -19.0 eV for the cell shown. As for the total magnetic moment: 0.00 μB per formula unit.

[4]
First-principles (PBE) data for an optimized crystal structure of Tl2AgRu, as listed in the Alexandria database.

Lattice parameters (Å, degrees): 5.6655 5.6655 5.6655 138.14 138.14 60.69
With the nearest neighbours (Å) after each atom.
Atoms (fractional coordinates):
Tl (0.0000, 0.0000, 0.0000)  4 Ag 2.86, 4 Ru 3.17, 4 Tl 3.17
Tl (0.2500, 0.7500, 0.5000)  4 Ru 2.86, 4 Tl 3.17, 4 Ag 3.17
Ag (0.5000, 0.5000, 0.0000)  8 Tl 2.86-3.17, 4 Ru 3.17
Ru (0.7500, 0.2500, 0.5000)  8 Tl 2.86-3.17, 4 Ag 3.17

Properties
The value obtained for the total energy is -14.9 eV for the cell shown. As for the total magnetic moment: 0.29 μB per formula unit.

[5]
First-principles (PBE) data for an optimized crystal structure of SrTmBi2, as listed in the Alexandria database.

Lattice parameters (Å, degrees): 4.7202 4.7202 8.0247 72.90 72.90 60.00
With the nearest neighbours (Å) after each atom.
Atoms (fractional coordinates):
Bi (0.0919, 0.0919, 0.7242)  3 Tm 3.18, 1 Bi 3.39, 3 Sr 3.39
Bi (0.2414, 0.2414, 0.2757)  3 Tm 3.24, 1 Bi 3.39, 3 Sr 3.47
Tm (0.4974, 0.4974, 0.5079)  6 Bi 3.18-3.24
Sr (0.6693, 0.6693, 0.9921)  6 Bi 3.39-3.47

Properties
The value obtained for the total energy is -16.5 eV for the cell shown. As for the total magnetic moment: 0.00 μB per formula unit.

[6]
First-principles (PBE) data for an optimized crystal structure of CoSi2Se, as listed in the Alexandria database.

Lattice parameters (Å, degrees): 3.8736 3.8736 7.5171 50.74 50.74 56.64
With the nearest neighbours (Å) after each atom.
Atoms (fractional coordinates):
Co (0.7500, 0.7500, 0.7500)  6 Si 2.31-2.32
Si (0.5336, 0.5336, 0.6149)  3 Co 2.31-2.32, 2 Si 2.52
Si (0.9664, 0.9664, 0.8851)  3 Co 2.31-2.32, 2 Si 2.52
Se (0.2500, 0.2500, 0.2500)  4 Si 2.69, 2 Co 2.71

Properties
The uncorrected formation energy is -0.06 eV per atom. As for the total magnetic moment: 0.00 μB per formula unit.

[7]
First-principles (PBE) data for an optimized crystal structure of Ac3Bi5Se12, as listed in the Alexandria database.

Lattice parameters (Å, degrees): 15.2704 15.2704 15.2704 109.47 109.47 109.47
With the nearest neighbours (Å) after each atom.
Atoms (fractional coordinates):
Se (0.7814, 0.4519, 0.3662)  2 Bi 2.81-2.94
Se (0.3662, 0.4144, 0.0848)  2 Bi 2.81-2.94
Se (0.7186, 0.1338, 0.0481)  2 Bi 2.81-2.94
Se (0.6705, 0.4519, 0.5856)  2 Bi 2.81-2.94
Se (0.2186, 0.5481, 0.6338)  2 Bi 2.81-2.94
Se (0.1705, 0.0848, 0.7186)  2 Bi 2.81-2.94
Se (0.0481, 0.6338, 0.7186)  2 Bi 2.81-2.94
Se (0.3295, 0.5481, 0.4144)  2 Bi 2.81-2.94
Se (0.1705, 0.0856, 0.9519)  2 Bi 2.81-2.94
Se (0.2814, 0.8662, 0.9519)  2 Bi 2.81-2.94
Se (0.4152, 0.1338, 0.5856)  2 Bi 2.81-2.94
Se (0.7186, 0.5848, 0.1705)  2 Bi 2.81-2.94
Se (0.2186, 0.6705, 0.0848)  2 Bi 2.81-2.94
Se (0.4519, 0.6705, 0.0856)  2 Bi 2.81-2.94
Se (0.7814, 0.3295, 0.9152)  2 Bi 2.81-2.94
Se (0.6338, 0.0481, 0.2186)  2 Bi 2.81-2.94
Se (0.6705, 0.2186, 0.5848)  2 Bi 2.81-2.94
Se (0.0848, 0.1705, 0.2186)  2 Bi 2.81-2.94
Se (0.5848, 0.8662, 0.4144)  2 Bi 2.81-2.94
Se (0.9152, 0.0856, 0.6338)  2 Bi 2.81-2.94
Se (0.3662, 0.9519, 0.7814)  2 Bi 2.81-2.94
Se (0.1338, 0.7186, 0.5481)  2 Bi 2.81-2.94
Se (0.6338, 0.5856, 0.9152)  2 Bi 2.81-2.94
Se (0.5481, 0.3295, 0.9144)  2 Bi 2.81-2.94
Se (0.0856, 0.9152, 0.1338)  2 Bi 2.81-2.94
Se (0.9144, 0.0848, 0.8662)  2 Bi 2.81-2.94
Se (0.9519, 0.3662, 0.2814)  2 Bi 2.81-2.94
Se (0.0848, 0.9144, 0.3662)  2 Bi 2.81-2.94
Se (0.8662, 0.2814, 0.4519)  2 Bi 2.81-2.94
Se (0.5856, 0.6338, 0.4152)  2 Bi 2.81-2.94
Se (0.9519, 0.5856, 0.1705)  2 Bi 2.81-2.94
Se (0.4144, 0.3662, 0.5848)  2 Bi 2.81-2.94
Se (0.4144, 0.0481, 0.3295)  2 Bi 2.81-2.94
Se (0.5848, 0.7186, 0.6705)  2 Bi 2.81-2.94
Se (0.9152, 0.8295, 0.7814)  2 Bi 2.81-2.94
Se (0.8662, 0.5848, 0.9144)  2 Bi 2.81-2.94
Se (0.9144, 0.8295, 0.5481)  2 Bi 2.81-2.94
Se (0.4152, 0.2814, 0.3295)  2 Bi 2.81-2.94
Se (0.2814, 0.4152, 0.8295)  2 Bi 2.81-2.94
Se (0.0856, 0.1705, 0.4519)  2 Bi 2.81-2.94
Se (0.8295, 0.9152, 0.2814)  2 Bi 2.81-2.94
Se (0.4519, 0.7814, 0.8662)  2 Bi 2.81-2.94
Se (0.1338, 0.4152, 0.0856)  2 Bi 2.81-2.94
Se (0.5481, 0.2186, 0.1338)  2 Bi 2.81-2.94
Se (0.0481, 0.4144, 0.8295)  2 Bi 2.81-2.94
Se (0.5856, 0.9519, 0.6705)  2 Bi 2.81-2.94
Se (0.8295, 0.9144, 0.0481)  2 Bi 2.81-2.94
Se (0.3295, 0.7814, 0.4152)  2 Bi 2.81-2.94
Ac (0.6250, 0.3750, 0.7500)  8 Se 3.28-3.29
Ac (0.2500, 0.6250, 0.8750)  8 Se 3.28-3.29
Ac (0.3750, 0.6250, 0.2500)  8 Se 3.28-3.29
Ac (0.8750, 0.7500, 0.1250)  8 Se 3.28-3.29
Ac (0.7500, 0.8750, 0.6250)  8 Se 3.28-3.29
Ac (0.8750, 0.1250, 0.2500)  8 Se 3.28-3.29
Ac (0.2500, 0.1250, 0.3750)  8 Se 3.28-3.29
Ac (0.7500, 0.3750, 0.1250)  8 Se 3.28-3.29
Ac (0.1250, 0.8750, 0.7500)  8 Se 3.28-3.29
Ac (0.1250, 0.2500, 0.8750)  8 Se 3.28-3.29
Ac (0.6250, 0.2500, 0.3750)  8 Se 3.28-3.29
Ac (0.3750, 0.7500, 0.6250)  8 Se 3.28-3.29
Bi (0.5000, 0.5000, 0.0000)  6 Se 2.94
Bi (0.0000, 0.0000, 0.5000)  6 Se 2.94
Bi (0.2500, 0.8750, 0.1250)  4 Se 2.81
Bi (0.5000, 0.0000, 0.0000)  6 Se 2.94
Bi (0.1250, 0.3750, 0.2500)  4 Se 2.81
Bi (0.3750, 0.2500, 0.1250)  4 Se 2.81
Bi (0.5000, 0.0000, 0.5000)  6 Se 2.94
Bi (0.7500, 0.1250, 0.8750)  4 Se 2.81
Bi (0.0000, 0.5000, 0.0000)  6 Se 2.94
Bi (0.7500, 0.6250, 0.3750)  4 Se 2.81
Bi (0.3750, 0.1250, 0.7500)  4 Se 2.81
Bi (0.1250, 0.7500, 0.3750)  4 Se 2.81
Bi (0.0000, 0.0000, 0.0000)  6 Se 2.94
Bi (0.2500, 0.3750, 0.6250)  4 Se 2.81
Bi (0.6250, 0.7500, 0.8750)  4 Se 2.81
Bi (0.8750, 0.2500, 0.6250)  4 Se 2.81
Bi (0.0000, 0.5000, 0.5000)  6 Se 2.94
Bi (0.6250, 0.8750, 0.2500)  4 Se 2.81
Bi (0.8750, 0.6250, 0.7500)  4 Se 2.81
Bi (0.5000, 0.5000, 0.5000)  6 Se 2.94

Properties
The uncorrected formation energy is -0.92 eV per atom. As for the total magnetic moment: 0.00 μB per formula unit.

[8]
First-principles (PBE) data for an optimized crystal structure of Dy3Hg2Ru, as listed in the Alexandria database.

Lattice parameters (Å, degrees): 3.5699 8.3831 11.0692 90.00 99.28 90.00
With the nearest neighbours (Å) after each atom.
Atoms (fractional coordinates):
Hg (0.0035, 0.2500, 0.0071)  2 Ru 2.81
Hg (0.8188, 0.2500, 0.6375)  6 Dy 3.15-3.16
Hg (0.9965, 0.7500, 0.9929)  2 Ru 2.81
Hg (0.1812, 0.7500, 0.3625)  6 Dy 3.15-3.16
Ru (0.6031, 0.2500, 0.2063)  4 Dy 2.52-2.77, 2 Hg 2.81
Ru (0.3969, 0.7500, 0.7937)  4 Dy 2.52-2.77, 2 Hg 2.81
Dy (0.4100, 0.4508, 0.8201)  1 Ru 2.52
Dy (0.5900, 0.5492, 0.1799)  1 Ru 2.52
Dy (0.5900, 0.9508, 0.1799)  1 Ru 2.52
Dy (0.2002, 0.2500, 0.4003)  2 Ru 2.77
Dy (0.4100, 0.0492, 0.8201)  1 Ru 2.52
Dy (0.7998, 0.7500, 0.5997)  2 Ru 2.77

Properties
The value obtained for the total energy is -49.6 eV for the cell shown. As for the total magnetic moment: 0.00 μB per formula unit.